1.
A plane-wave DFT calculation with PBE-GGA was carried out for a relaxed structure of Na2AuIO4.

Its total energy is -0.29095 Ry/atom. Its raw formation energy is -0.546 eV/atom. The volume is 16.5 Å³/atom.

Lattice parameters (Å, degrees): 6.265 6.265 6.719 90.00 90.00 90.00
Space group I-4 (No. 82)
Inequivalent atoms, fractional coordinates:
1 Na 0.000 0.000 0.000 (multiplicity 2)
2 Na 0.000 0.500 0.250 (multiplicity 2)
3 Au 0.000 0.000 0.500 (multiplicity 2)
4 I 0.000 0.500 0.750 (multiplicity 2)
5 O 0.170 0.674 0.558 (multiplicity 8)

***

2.
A plane-wave DFT calculation with PBE-GGA was carried out for a relaxed structure of GaTeH.

Its total energy is -0.25195 Ry/atom. The value obtained for the energy above the most stable polymorph in this dataset is 0.0 meV/atom. The volume is 27.9 Å³/atom.

Lattice parameters (Å, degrees): 4.120 4.120 11.392 88.46 88.16 60.02
Space group P1 (No. 1)
Inequivalent atoms, fractional coordinates:
1 Ga 0.000 0.000 0.000 (multiplicity 1)
2 Ga 0.014 0.008 0.784 (multiplicity 1)
3 Te 0.326 0.329 0.112 (multiplicity 1)
4 Te 0.355 0.346 0.671 (multiplicity 1)
5 H 0.061 0.054 0.367 (multiplicity 1)
6 H 0.962 0.995 0.412 (multiplicity 1)

***

3.
A plane-wave DFT calculation with PBE-GGA was carried out for a relaxed structure of Tb8Pm3Sc2.

Its total energy is -0.34405 Ry/atom. The volume is 32.7 Å³/atom. The value obtained for the formation energy is 23.0 kJ per mole of atoms. Its density of states at the Fermi level is 38.72 states/eV per cell.

Lattice parameters (Å, degrees): 19.561 7.741 5.618 90.00 90.03 90.00
Space group C2/m (No. 12)
Inequivalent atoms, fractional coordinates:
1 Tb 0.113 0.208 0.000 (multiplicity 8)
2 Tb 0.136 0.500 0.500 (multiplicity 4)
3 Tb 0.178 0.000 0.501 (multiplicity 4)
4 Pm 0.000 0.208 0.500 (multiplicity 4)
5 Pm 0.000 0.500 0.000 (multiplicity 2)
6 Sc 0.241 0.500 0.999 (multiplicity 4)

***

4.
A plane-wave DFT calculation with PBE-GGA was carried out for a relaxed structure of FeP2Ir.

Its total energy is -0.52917 Ry/atom. The value obtained for the energy above the most stable polymorph in this dataset is 207.2 meV/atom. The volume is 12.4 Å³/atom. The value obtained for the formation energy is -15.8 kJ per mole of atoms. Its density of states at the Fermi level is 4.99 states/eV per cell.

Lattice parameters (Å, degrees): 7.294 2.850 4.896 90.00 102.74 90.00
Space group C2/m (No. 12)
Inequivalent atoms, fractional coordinates:
1 Fe 0.000 0.000 0.000 (multiplicity 2)
2 P 0.245 0.500 0.226 (multiplicity 4)
3 Ir 0.000 0.500 0.500 (multiplicity 2)

***

5.
A plane-wave DFT calculation with PBE-GGA was carried out for a relaxed structure of NbBNO2.

Its total energy is -0.51639 Ry/atom. Its raw formation energy is -0.028 eV/atom. The volume is 13.1 Å³/atom. Its density of states at the Fermi level is 1.23 states/eV per cell.

Lattice parameters (Å, degrees): 3.967 3.967 4.176 90.00 90.00 90.00
Space group P4/mmm (No. 123)
Inequivalent atoms, fractional coordinates:
1 Nb 0.000 0.000 0.000 (multiplicity 1)
2 B 0.500 0.500 0.500 (multiplicity 1)
3 N 0.000 0.000 0.500 (multiplicity 1)
4 O 0.000 0.500 0.000 (multiplicity 2)

***

6.
A plane-wave DFT calculation with PBE-GGA was carried out for a relaxed structure of La8In2Ag.

Its total energy is -0.33384 Ry/atom. The volume is 32.3 Å³/atom. The value obtained for the formation energy is -19.4 kJ per mole of atoms. Its density of states at the Fermi level is 26.51 states/eV per cell.

Lattice parameters (Å, degrees): 5.564 7.390 17.296 90.00 90.00 90.00
Space group Immm (No. 71)
Inequivalent atoms, fractional coordinates:
1 La 0.000 0.000 0.197 (multiplicity 4)
2 La 0.000 0.235 0.362 (multiplicity 8)
3 La 0.000 0.282 0.000 (multiplicity 4)
4 In 0.000 0.500 0.186 (multiplicity 4)
5 Ag 0.000 0.500 0.500 (multiplicity 2)